VASP calculation (PBE) on an optimized crystal structure of SiPt5Pb.

The value obtained for the uncorrected energy is -42.08 eV/cell. For the density of states at the Fermi level, the calculation gives 0.14 states/eV per atom. For the energy relative to the elements, uncorrected, the calculation gives -37.9 kJ/mol of atoms. As for the symmetry: P4/mmm, No. 123.

a = 4.026 Å, b = 4.026 Å, c = 7.272 Å
α = 90.00°, β = 90.00°, γ = 90.00°
Atoms (fractional coordinates):
1 Si 0.000 0.000 0.000
2 Pt 0.000 0.000 0.500
3 Pt 0.000 0.500 0.197
4 Pt 0.000 0.500 0.803
5 Pt 0.500 0.000 0.197
6 Pt 0.500 0.000 0.803
7 Pb 0.500 0.500 0.500